La4PrIr3 | GGA-PBE | optimized geometry Values from VASP.

DFT formation energy   -5.13 eV/f.u.
DOS at the Fermi energy   0.561 states/eV/atom
Calculated volume   31.3 Å³ per atom
Crystal system   monoclinic

Quantum ESPRESSO input file:
```
&SYSTEM
  ibrav = 0, nat = 16, ntyp = 3
/
ATOMIC_SPECIES
La 138.91 La.upf
Ir 192.22 Ir.upf
Pr 140.91 Pr.upf
CELL_PARAMETERS angstrom
-6.474 -1.829 -2.938
2.722 -4.393 5.909
-4.275 8.981 3.830
ATOMIC_POSITIONS angstrom
La -2.802 4.667 6.349
Ir -4.944 -2.463 3.301
La -2.838 -0.438 3.447
Ir -5.037 0.353 1.680
Pr -0.372 -2.789 5.821
Ir -7.113 2.018 5.202
La -2.775 -4.345 2.702
La -0.593 1.365 6.577
La -5.267 7.000 3.967
La -5.066 2.824 3.236
Ir -7.155 4.849 3.604
Ir -2.806 2.116 4.884
La -5.047 -2.265 0.359
La -7.286 1.335 0.165
Ir -0.681 -2.378 2.964
Pr -4.814 1.051 6.691
```